Compound: CaGa2Pd2
Source: Alexandria
Functional: meta-GGA SCAN
Structure: PBEsol geometry

Values from the calculation:
D(E_F)	2.16	states/eV/f.u.
size of the total moment	0.0	μB per formula unit
ΔH_f (0 K)	-0.72	eV/atom

a = 6.1786 Å, b = 6.1786 Å, c = 6.1786 Å
α = 140.78°, β = 140.78°, γ = 56.66°
Element x y z (fractional)
Ca1 0.0000 0.0000 0.0000
Ga1 0.2500 0.7500 0.5000
Ga2 0.7500 0.2500 0.5000
Pd1 0.3790 0.3790 0.0000
Pd2 0.6210 0.6210 0.0000